# SrMoAu2

SrMoAu2 after structural relaxation (PBE-GGA, Alexandria via LeMat-Bulk).

Cell lengths 4.6701, 4.6701, 5.9821 Å; angles 67.01, 67.01, 60.00 degrees
Closest atoms and distances in Å follow each position.
Sites, in units of the cell vectors:
Au 0.5513 0.5513 0.3459  3 Mo 2.74, 3 Au 2.88
Au 0.9487 0.9487 0.1541  3 Mo 2.74, 3 Au 2.88
Mo 0.2500 0.2500 0.2500  6 Au 2.74
Sr 0.7500 0.7500 0.7500  8 Au 3.18-3.45

As for the total moment: 1.9 μB/f.u. Its space group is R-3m. The calculation puts the formation energy from the elements at 17.3 kJ/mol of formula units. Its energy above the most stable polymorph in this dataset is 0.000 eV per atom. Its density is 9.5 g/cm3. The density of states at the Fermi level is 0.447 states/eV per atom.

=====

# SrMoAu

SrMoAu after structural relaxation (PBE-GGA, Alexandria via LeMat-Bulk).

Cell lengths 4.9840, 4.9840, 4.9840 Å; angles 60.00, 60.00, 60.00 degrees
Closest atoms and distances in Å follow each position.
Sites, in units of the cell vectors:
Mo 0.0000 0.0000 0.0000  4 Au 3.05
Sr 0.5000 0.5000 0.5000  4 Au 3.05
Au 0.7500 0.7500 0.7500  4 Mo 3.05, 4 Sr 3.05

As for the total moment: 4.2 μB/f.u. Its space group is F-43m. The calculation puts the formation energy from the elements at 212.3 kJ/mol of formula units. Its energy above the most stable polymorph in this dataset is 0.243 eV per atom. Its density is 7.2 g/cm3. The density of states at the Fermi level is 0.665 states/eV per atom.

=====

# SrMoAu2

SrMoAu2 after structural relaxation (PBE-GGA, Alexandria via LeMat-Bulk).

Cell lengths 9.6801, 9.6801, 9.6801 Å; angles 19.11, 19.11, 19.11 degrees
Closest atoms and distances in Å follow each position.
Sites, in units of the cell vectors:
Au 0.5089 0.5089 0.5089  3 Mo 2.82
Au 0.9911 0.9911 0.9911  3 Mo 2.82
Sr 0.7500 0.7500 0.7500  6 Sr 3.21, 6 Au 3.22
Mo 0.2500 0.2500 0.2500  6 Au 2.82

As for the total moment: 0.0 μB/f.u. Its space group is R-3m. The calculation puts the formation energy from the elements at 194.8 kJ/mol of formula units. Its energy above the most stable polymorph in this dataset is 0.460 eV per atom. Its density is 11.3 g/cm3. The density of states at the Fermi level is 0.583 states/eV per atom.

=====

# SrMoAu2

SrMoAu2 after structural relaxation (PBE-GGA, Alexandria via LeMat-Bulk).

Cell lengths 5.6305, 5.6305, 5.3074 Å; angles 75.90, 75.90, 31.10 degrees
Closest atoms and distances in Å follow each position.
Sites, in units of the cell vectors:
Mo 0.5183 0.5183 0.4166  7 Au 2.92-3.22, 2 Mo 3.02
Sr 0.7404 0.7404 0.8060  7 Au 2.99-3.12, 2 Sr 3.02
Au 0.2560 0.2560 0.3113  3 Mo 2.92-3.04, 4 Sr 3.00-3.12, 4 Au 3.02-3.09
Au 0.9853 0.9853 0.9661  4 Mo 2.93-3.22, 3 Sr 2.99-3.08, 4 Au 3.02-3.09

As for the total moment: 1.3 μB/f.u. Its space group is Cm. The calculation puts the formation energy from the elements at 104.8 kJ/mol of formula units. Its energy above the most stable polymorph in this dataset is 0.227 eV per atom. Its density is 11.4 g/cm3. The density of states at the Fermi level is 0.897 states/eV per atom.

=====

# SrMoAu2

SrMoAu2 after structural relaxation (PBE-GGA, Alexandria via LeMat-Bulk).

Cell lengths 5.9329, 5.9329, 5.9329 Å; angles 144.74, 131.71, 61.19 degrees
Closest atoms and distances in Å follow each position.
Sites, in units of the cell vectors:
Au 0.9814 0.9814 0.0000  2 Au 3.01, 4 Mo 3.05, 2 Sr 3.27
Au 0.7453 0.2453 0.5000  2 Mo 2.89, 2 Au 3.01, 4 Sr 3.02
Mo 0.5243 0.5243 0.0000  6 Au 2.89-3.05
Sr 0.2491 0.7491 0.5000  6 Au 3.02-3.27, 4 Mo 3.34

As for the total moment: 3.0 μB/f.u. Its space group is Imm2. The calculation puts the formation energy from the elements at 123.7 kJ/mol of formula units. Its energy above the most stable polymorph in this dataset is 0.276 eV per atom. Its density is 10.8 g/cm3. The density of states at the Fermi level is 0.996 states/eV per atom.

=====

# SrMoAu3

SrMoAu3 after structural relaxation (PBE-GGA, Alexandria via LeMat-Bulk).

Cell lengths 5.1227, 5.1227, 5.1227 Å; angles 90.00, 90.00, 90.00 degrees
Closest atoms and distances in Å follow each position.
Sites, in units of the cell vectors:
Au 0.5000 0.0000 0.0000  2 Mo 2.56
Au 0.0000 0.5000 0.0000  2 Mo 2.56
Au 0.0000 0.0000 0.5000  2 Mo 2.56
Sr 0.5000 0.5000 0.5000  12 Au 3.62
Mo 0.0000 0.0000 0.0000  6 Au 2.56

As for the total moment: 0.0 μB/f.u. Its space group is Pm-3m. The calculation puts the formation energy from the elements at 106.0 kJ/mol of formula units. Its energy above the most stable polymorph in this dataset is 0.000 eV per atom. Its density is 9.6 g/cm3. The density of states at the Fermi level is 0.917 states/eV per atom.